This record from the Alexandria database describes crystalline Th2Cu3Hg at its relaxed geometry. The functional is GGA-PBE.

Computed properties:
* E_form: -103.7 kJ/mol of formula units
* D(E_F): 6.85 states/eV/cell
* SG: Fmmm (69)
* distance to the lowest polymorph of the same formula: 0 meV/atom

Cell: 5.774 5.774 8.653 Å, 103.91 103.91 106.24°
Sites, in units of the cell vectors:
Th1 0.750 0.250 0.500
Cu1 0.839 0.839 0.677
Cu2 0.838 0.323 0.161
Cu3 0.162 0.677 0.839
Cu4 0.161 0.161 0.323
Hg1 0.666 0.666 0.332
Cu5 0.677 0.162 0.839
Th2 0.242 0.242 0.000
Hg2 0.334 0.334 0.668
Cu6 0.323 0.838 0.161
Th3 0.758 0.758 0.000
Th4 0.250 0.750 0.500

This record from the Alexandria database describes crystalline Th3Cu4Hg at its relaxed geometry. The functional is GGA-PBE.

Computed properties:
* E_form: -7.0 kJ/mol of formula units
* D(E_F): 6.59 states/eV/cell
* SG: Immm (71)

Cell: 3.712 6.344 8.607 Å, 111.63 102.45 90.00°
Sites, in units of the cell vectors:
Th1 0.797 0.797 0.594
Th2 0.000 0.500 0.000
Cu1 0.626 0.430 0.253
Th3 0.203 0.203 0.406
Hg1 0.500 0.000 0.000
Cu2 0.374 0.177 0.747
Cu3 0.374 0.570 0.747
Cu4 0.626 0.823 0.253

This record from the Alexandria database describes crystalline ThCuHg2 at its relaxed geometry. The functional is GGA-PBE.

Computed properties:
* E_form: -13.2 kJ/mol of formula units
* D(E_F): 2.70 states/eV/cell
* SG: P4/mmm (123)

Cell: 3.444 3.444 7.490 Å, 90.00 90.00 90.00°
Sites, in units of the cell vectors:
Hg1 0.000 0.000 0.798
Hg2 0.000 0.000 0.202
Cu1 0.500 0.500 0.000
Th1 0.500 0.500 0.500

This record from the Alexandria database describes crystalline Th2Cu2Hg at its relaxed geometry. The functional is GGA-PBE.

Computed properties:
* E_form: -103.7 kJ/mol of formula units
* D(E_F): 4.96 states/eV/cell
* SG: Cmmm (65)

Cell: 3.552 4.453 7.555 Å, 107.14 90.00 90.00°
Sites, in units of the cell vectors:
Hg1 0.000 0.000 0.000
Th1 0.500 0.632 0.264
Th2 0.500 0.368 0.736
Cu1 0.000 0.201 0.403
Cu2 0.000 0.799 0.597

This record from the Alexandria database describes crystalline Th3Cu2Hg3 at its relaxed geometry. The functional is GGA-PBE.

Computed properties:
* E_form: -125.6 kJ/mol of formula units
* D(E_F): 18.41 states/eV/cell
* SG: Cmcm (63)

Cell: 4.633 5.831 15.614 Å, 90.00 90.00 113.41°
Sites, in units of the cell vectors:
Th1 0.923 0.846 0.394
Th2 0.666 0.333 0.250
Hg1 0.370 0.740 0.960
Th3 0.077 0.154 0.894
Cu1 0.789 0.577 0.610
Th4 0.334 0.667 0.750
Hg2 0.627 0.255 0.750
Hg3 0.370 0.740 0.540
Cu2 0.211 0.423 0.390
Hg4 0.630 0.260 0.040
Hg5 0.373 0.745 0.250
Hg6 0.630 0.260 0.460
Cu3 0.211 0.423 0.110
Th5 0.077 0.154 0.606
Th6 0.923 0.846 0.106
Cu4 0.789 0.577 0.890

This record from the Alexandria database describes crystalline ThCuHg2 at its relaxed geometry. The functional is GGA-PBE.

Computed properties:
* E_form: -28.1 kJ/mol of formula units
* D(E_F): 3.25 states/eV/cell
* SG: R-3m (166)

Cell: 4.626 4.626 5.718 Å, 66.14 66.14 60.00°
Sites, in units of the cell vectors:
Cu1 0.500 0.500 0.500
Th1 0.000 0.000 0.000
Hg1 0.223 0.223 0.331
Hg2 0.777 0.777 0.669

This record from the Alexandria database describes crystalline Th4Cu2Hg5 at its relaxed geometry. The functional is GGA-PBE.

Computed properties:
* E_form: -195.7 kJ/mol of formula units
* D(E_F): 10.83 states/eV/cell
* SG: P2/m (10)

Cell: 3.517 7.907 10.038 Å, 94.30 90.00 90.00°
Sites, in units of the cell vectors:
Hg1 0.000 0.174 0.157
Hg2 0.000 0.500 0.000
Hg3 0.000 0.441 0.684
Cu1 0.000 0.937 0.372
Cu2 0.000 0.063 0.628
Th1 0.500 0.242 0.441
Th2 0.500 0.823 0.135
Hg4 0.000 0.559 0.316
Th3 0.500 0.758 0.559
Th4 0.500 0.177 0.865
Hg5 0.000 0.826 0.843

This record from the Alexandria database describes crystalline ThCuHg2 at its relaxed geometry. The functional is GGA-PBE.

Computed properties:
* E_form: -65.7 kJ/mol of formula units
* D(E_F): 3.68 states/eV/cell
* SG: I4/mmm (139)

Cell: 4.781 4.781 8.787 Å, 105.79 105.79 90.00°
Sites, in units of the cell vectors:
Cu1 0.250 0.750 0.500
Hg1 0.653 0.653 0.306
Hg2 0.000 0.500 0.000
Th1 0.143 0.143 0.287
Hg3 0.347 0.347 0.694
Th2 0.857 0.857 0.713
Hg4 0.500 0.000 0.000
Cu2 0.750 0.250 0.500

no.,E (Ry per atom)
1,-0.3492
2,-0.3585
3,-0.2252
4,-0.3588
5,-0.3001
6,-0.2280
7,-0.2767
8,-0.2352